Below is crystalline CaH3Ru at its relaxed geometry, with properties calculated at the GGA-PBE level.

Lattice parameters (Å, degrees): 3.5615 3.5615 8.5855 90.00 90.00 120.00
With the nearest neighbours (Å) after each atom.
Atoms (fractional coordinates):
Ca (0.3333, 0.6667, 0.2500)  3 H 2.06
Ca (0.6667, 0.3333, 0.7500)  3 H 2.06
H (0.0000, 0.0000, 0.2500)  3 Ca 2.06, 2 Ru 2.15
H (0.0000, 0.0000, 0.7500)  3 Ca 2.06, 2 Ru 2.15
H (0.3333, 0.6667, 0.5440)  3 Ru 2.09, 3 H 2.19
H (0.3333, 0.6667, 0.9560)  3 Ru 2.09, 3 H 2.19
H (0.6667, 0.3333, 0.0440)  3 Ru 2.09, 3 H 2.19
H (0.6667, 0.3333, 0.4560)  3 Ru 2.09, 3 H 2.19
Ru (0.0000, 0.0000, 0.0000)  8 H 2.09-2.15
Ru (0.0000, 0.0000, 0.5000)  8 H 2.09-2.15

N(E_F)	0.256	states/eV/atom
density	5077	kg/m3
electronic total energy	-4.265	eV per atom